## Al2CuAg (SCAN)

Data for Al2CuAg at its PBEsol-relaxed geometry.

## Properties
- M_tot: 0.00 Bohr magnetons per cell
- Energy above the lowest structure with this stoichiometry: 0.49 eV/f.u.
- Total DFT energy (no corrections): -62.1 eV per cell
- Formation enthalpy at 0 K: -0.0166 eV/atom

Unit cell a=2.8046 b=4.8716 c=5.2063 alpha=117.81 beta=105.49 gamma=90.27
Last column: nearest neighbours and their distance in Å.
Fractional positions:
Al1 0.5000 0.0000 0.5000  2 Cu 2.61, 2 Ag 2.61, 6 Al 2.80-2.82
Ag1 0.5000 0.5000 0.0000  4 Al 2.61, 2 Ag 2.80, 4 Cu 2.80-2.82
Al2 0.0000 0.5000 0.5000  2 Ag 2.61, 2 Cu 2.61, 6 Al 2.80-2.82
Cu1 0.0000 0.0000 0.0000  4 Al 2.61, 2 Cu 2.80, 4 Ag 2.80-2.82